Computed, not measured: a relaxed BeAgHg crystal at the PBE level of DFT.

Results
ρ = 10.12 g cm⁻³
calculated total energy = -1.991 eV/atom

a = 5.929 Å, b = 5.929 Å, c = 5.929 Å
α = 90.00°, β = 90.00°, γ = 90.00°
Space group F-43m (No. 216)
One atom of each set of equivalent atoms:
Be 0.000 0.000 0.000 x4
Ag 0.250 0.250 0.750 x4
Hg 0.250 0.250 0.250 x4

---

Computed, not measured: a relaxed InPdPt2 crystal at the PBE level of DFT.

Results
ρ = 15.20 g cm⁻³
calculated total energy = -5.324 eV/atom

a = 6.441 Å, b = 6.441 Å, c = 6.441 Å
α = 90.00°, β = 90.00°, γ = 90.00°
Space group F-43m (No. 216)
One atom of each set of equivalent atoms:
In 0.000 0.000 0.000 x4
Pd 0.250 0.250 0.250 x4
Pt 0.000 0.000 0.500 x4
Pt 0.250 0.250 0.750 x4

---

Computed, not measured: a relaxed NdBiN2O crystal at the PBE level of DFT.

Results
ρ = 8.86 g cm⁻³
calculated total energy = -6.653 eV/atom

a = 5.987 Å, b = 8.616 Å, c = 5.776 Å
α = 90.00°, β = 90.00°, γ = 90.00°
Space group Pnma (No. 62)
One atom of each set of equivalent atoms:
Nd 0.062 0.250 0.022 x4
Bi 0.000 0.000 0.500 x4
N 0.198 0.566 0.804 x8
O 0.049 0.750 0.373 x4

---

Computed, not measured: a relaxed ScBeCu2 crystal at the PBE level of DFT.

Results
ρ = 5.68 g cm⁻³
calculated total energy = -4.429 eV/atom

a = 5.961 Å, b = 5.961 Å, c = 5.961 Å
α = 90.00°, β = 90.00°, γ = 90.00°
Space group F-43m (No. 216)
One atom of each set of equivalent atoms:
Sc 0.000 0.000 0.000 x4
Be 0.250 0.250 0.250 x4
Cu 0.000 0.000 0.500 x4
Cu 0.250 0.250 0.750 x4

---

Repeat the third record exactly.
Computed, not measured: a relaxed NdBiN2O crystal at the PBE level of DFT.

Results
ρ = 8.86 g cm⁻³
calculated total energy = -6.653 eV/atom

a = 5.987 Å, b = 8.616 Å, c = 5.776 Å
α = 90.00°, β = 90.00°, γ = 90.00°
Space group Pnma (No. 62)
One atom of each set of equivalent atoms:
Nd 0.062 0.250 0.022 x4
Bi 0.000 0.000 0.500 x4
N 0.198 0.566 0.804 x8
O 0.049 0.750 0.373 x4

---

Please write out number 2 again, unchanged.
Computed, not measured: a relaxed InPdPt2 crystal at the PBE level of DFT.

Results
ρ = 15.20 g cm⁻³
calculated total energy = -5.324 eV/atom

a = 6.441 Å, b = 6.441 Å, c = 6.441 Å
α = 90.00°, β = 90.00°, γ = 90.00°
Space group F-43m (No. 216)
One atom of each set of equivalent atoms:
In 0.000 0.000 0.000 x4
Pd 0.250 0.250 0.250 x4
Pt 0.000 0.000 0.500 x4
Pt 0.250 0.250 0.750 x4